# 1
# Ba2ZnPbAu6 PBE optimized geometry
data_Ba2ZnPbAu6
_cell_length_a 5.702
_cell_length_b 7.413
_cell_length_c 7.500
_cell_angle_alpha 79.29
_cell_angle_beta 67.71
_cell_angle_gamma 67.39
_symmetry_space_group_name_H-M 'P -1'
_symmetry_Int_Tables_number 2
loop_
_symmetry_equiv_pos_as_xyz
'x,y,z'
'-x,-y,-z'
loop_
_atom_site_label
_atom_site_type_symbol
_atom_site_fract_x
_atom_site_fract_y
_atom_site_fract_z
_atom_site_occupancy
Ba1 Ba 0.250 0.211 0.291 1
Zn1 Zn 0.000 0.000 0.000 1
Pb1 Pb 0.500 0.500 0.500 1
Au1 Au 0.242 0.603 0.910 1
Au2 Au 0.244 0.238 0.772 1
Au3 Au 0.255 0.762 0.228 1
# Final energy = -32.77 eV per cell
# Calculated formation energy = -0.43 eV per atom

***

# 2
# Pm2AlGe2 PBE optimized geometry
data_Pm2AlGe2
_cell_length_a 4.219
_cell_length_b 5.962
_cell_length_c 9.109
_cell_angle_alpha 90.00
_cell_angle_beta 90.00
_cell_angle_gamma 90.00
_symmetry_space_group_name_H-M 'I m m m'
_symmetry_Int_Tables_number 71
_symmetry_space_group_name_Hall '-I 2 2'
loop_
_atom_site_label
_atom_site_type_symbol
_atom_site_fract_x
_atom_site_fract_y
_atom_site_fract_z
_atom_site_occupancy
Pm1 Pm 0.000 0.000 0.211 1
Al1 Al 0.000 0.500 0.000 1
Ge1 Ge 0.000 0.283 0.500 1
# Final energy = -52.22 eV per cell
# Energy relative to the lowest polymorph listed for this composition = 0 meV per atom
# Calculated formation energy = -0.73 eV per atom

***

Repeat the second record exactly.
# Pm2AlGe2 PBE optimized geometry
data_Pm2AlGe2
_cell_length_a 4.219
_cell_length_b 5.962
_cell_length_c 9.109
_cell_angle_alpha 90.00
_cell_angle_beta 90.00
_cell_angle_gamma 90.00
_symmetry_space_group_name_H-M 'I m m m'
_symmetry_Int_Tables_number 71
_symmetry_space_group_name_Hall '-I 2 2'
loop_
_atom_site_label
_atom_site_type_symbol
_atom_site_fract_x
_atom_site_fract_y
_atom_site_fract_z
_atom_site_occupancy
Pm1 Pm 0.000 0.000 0.211 1
Al1 Al 0.000 0.500 0.000 1
Ge1 Ge 0.000 0.283 0.500 1
# Final energy = -52.22 eV per cell
# Energy relative to the lowest polymorph listed for this composition = 0 meV per atom
# Calculated formation energy = -0.73 eV per atom

***

Question: What is the formula in the first record?
Answer: Ba2ZnPbAu6

***

Repeat the second record exactly.
# Pm2AlGe2 PBE optimized geometry
data_Pm2AlGe2
_cell_length_a 4.219
_cell_length_b 5.962
_cell_length_c 9.109
_cell_angle_alpha 90.00
_cell_angle_beta 90.00
_cell_angle_gamma 90.00
_symmetry_space_group_name_H-M 'I m m m'
_symmetry_Int_Tables_number 71
_symmetry_space_group_name_Hall '-I 2 2'
loop_
_atom_site_label
_atom_site_type_symbol
_atom_site_fract_x
_atom_site_fract_y
_atom_site_fract_z
_atom_site_occupancy
Pm1 Pm 0.000 0.000 0.211 1
Al1 Al 0.000 0.500 0.000 1
Ge1 Ge 0.000 0.283 0.500 1
# Final energy = -52.22 eV per cell
# Energy relative to the lowest polymorph listed for this composition = 0 meV per atom
# Calculated formation energy = -0.73 eV per atom